# Cr2SiTe | Alexandria via LeMat-Bulk | PBEsol | optimized geometry
# Volume: 17.07 A^3/atom
# Formation energy from raw total energies: 240 meV per atom
# Electronic total energy: -7.20 eV per atom
data_Cr2SiTe
_chemical_formula_sum 'Cr6 Si3 Te3'
_space_group_name_H-M_alt 'R -3 m'
_space_group_IT_number 166
_space_group_name_Hall '-R 3 2"'
_cell_length_a 3.6333
_cell_length_b 3.6333
_cell_length_c 17.9129
_cell_angle_alpha 90.00
_cell_angle_beta 90.00
_cell_angle_gamma 120.00
loop_
_atom_site_label
_atom_site_type_symbol
_atom_site_fract_x
_atom_site_fract_y
_atom_site_fract_z
_atom_site_occupancy
Cr1 Cr 0.0000 0.0000 0.2320 1
Si1 Si 0.0000 0.0000 0.5000 1
Te1 Te 0.0000 0.0000 0.0000 1

=====

# Cr2SiTe | Alexandria via LeMat-Bulk | PBEsol | optimized geometry
# Volume: 14.29 A^3/atom
# Formation energy from raw total energies: 198 meV per atom
# Electronic total energy: -7.24 eV per atom
data_Cr2SiTe
_chemical_formula_sum 'Cr4 Si2 Te2'
_space_group_name_H-M_alt 'C 1 m 1'
_space_group_IT_number 8
_cell_length_a 8.5462
_cell_length_b 3.1311
_cell_length_c 4.4482
_cell_angle_alpha 90.00
_cell_angle_beta 106.20
_cell_angle_gamma 90.00
loop_
_space_group_symop_operation_xyz
'x,y,z'
'x,-y,z'
'x+1/2,y+1/2,z'
'x+1/2,-y+1/2,z'
loop_
_atom_site_label
_atom_site_type_symbol
_atom_site_fract_x
_atom_site_fract_y
_atom_site_fract_z
_atom_site_occupancy
Cr1 Cr 0.0000 0.0000 0.0000 1
Cr2 Cr 0.2370 0.0000 0.6515 1
Si1 Si 0.0078 0.5000 0.5570 1
Te1 Te 0.2458 0.5000 0.1796 1

=====

# CrSiTe3 | Alexandria via LeMat-Bulk | PBEsol | optimized geometry
# Volume: 26.74 A^3/atom
# Formation energy from raw total energies: -121 meV per atom
# Electronic total energy: -5.43 eV per atom
data_CrSiTe3
_chemical_formula_sum 'Cr6 Si6 Te18'
_space_group_name_H-M_alt 'R -3'
_space_group_IT_number 148
_space_group_name_Hall '-R 3'
_cell_length_a 6.7475
_cell_length_b 6.7475
_cell_length_c 20.3470
_cell_angle_alpha 90.00
_cell_angle_beta 90.00
_cell_angle_gamma 120.00
loop_
_atom_site_label
_atom_site_type_symbol
_atom_site_fract_x
_atom_site_fract_y
_atom_site_fract_z
_atom_site_occupancy
Cr1 Cr 0.0000 0.0000 0.1656 1
Si1 Si 0.0000 0.0000 0.4440 1
Te1 Te 0.0031 0.3675 0.4168 1

=====

# CrSiTe2 | Alexandria via LeMat-Bulk | PBEsol | optimized geometry
# Volume: 20.49 A^3/atom
# Formation energy from raw total energies: 166 meV per atom
# Electronic total energy: -5.59 eV per atom
data_CrSiTe2
_chemical_formula_sum 'Cr3 Si3 Te6'
_space_group_name_H-M_alt 'R 3 m'
_space_group_IT_number 160
_space_group_name_Hall 'R 3 -2"'
_cell_length_a 3.2198
_cell_length_b 3.2198
_cell_length_c 27.3906
_cell_angle_alpha 90.00
_cell_angle_beta 90.00
_cell_angle_gamma 120.00
loop_
_atom_site_label
_atom_site_type_symbol
_atom_site_fract_x
_atom_site_fract_y
_atom_site_fract_z
_atom_site_occupancy
Cr1 Cr 0.0000 0.0000 0.0000 1
Si1 Si 0.0000 0.0000 0.7253 1
Te1 Te 0.0000 0.0000 0.2690 1
Te2 Te 0.0000 0.0000 0.4728 1

=====

# TiCrSi2Te | Alexandria via LeMat-Bulk | PBEsol | optimized geometry
# Volume: 18.41 A^3/atom
# Formation energy from raw total energies: 290 meV per atom
# Electronic total energy: -6.43 eV per atom
data_TiCrSi2Te
_chemical_formula_sum 'Ti1 Cr1 Si2 Te1'
_space_group_name_H-M_alt 'P 4/m m m'
_space_group_IT_number 123
_space_group_name_Hall '-P 4 2'
_cell_length_a 4.4787
_cell_length_b 4.4787
_cell_length_c 4.5879
_cell_angle_alpha 90.00
_cell_angle_beta 90.00
_cell_angle_gamma 90.00
loop_
_atom_site_label
_atom_site_type_symbol
_atom_site_fract_x
_atom_site_fract_y
_atom_site_fract_z
_atom_site_occupancy
Ti1 Ti 0.0000 0.0000 0.0000 1
Cr1 Cr 0.0000 0.0000 0.5000 1
Si1 Si 0.0000 0.5000 0.5000 1
Te1 Te 0.5000 0.5000 0.0000 1

=====

# TiCrSi4 | Alexandria via LeMat-Bulk | PBEsol | optimized geometry
# Volume: 12.69 A^3/atom
# Formation energy from raw total energies: -525 meV per atom
# Electronic total energy: -7.45 eV per atom
data_TiCrSi4
_chemical_formula_sum 'Ti3 Cr3 Si12'
_space_group_name_H-M_alt 'P 1 2 1'
_space_group_IT_number 3
_cell_length_a 4.5453
_cell_length_b 12.6879
_cell_length_c 4.5580
_cell_angle_alpha 90.00
_cell_angle_beta 119.67
_cell_angle_gamma 90.00
loop_
_space_group_symop_operation_xyz
'x,y,z'
'-x,y,-z'
loop_
_atom_site_label
_atom_site_type_symbol
_atom_site_fract_x
_atom_site_fract_y
_atom_site_fract_z
_atom_site_occupancy
Ti1 Ti 0.0000 0.0000 0.0000 1
Ti2 Ti 0.0000 0.4963 0.0000 1
Ti3 Ti 0.5000 0.6632 0.0000 1
Cr1 Cr 0.0000 0.3284 0.5000 1
Cr2 Cr 0.0000 0.8342 0.5000 1
Cr3 Cr 0.5000 0.1635 0.0000 1
Si1 Si 0.1709 0.1664 0.3427 1
Si2 Si 0.1771 0.6672 0.3418 1
Si3 Si 0.3346 0.4933 0.6568 1
Si4 Si 0.3348 0.8322 0.1689 1
Si5 Si 0.3399 0.3274 0.1672 1
Si6 Si 0.3408 0.9987 0.6620 1

=====

# Ti2Cr4Si5 | Alexandria via LeMat-Bulk | PBEsol | optimized geometry
# Volume: 12.38 A^3/atom
# Formation energy from raw total energies: -633 meV per atom
# Electronic total energy: -8.48 eV per atom
data_Ti2Cr4Si5
_chemical_formula_sum 'Ti8 Cr16 Si20'
_space_group_name_H-M_alt 'I b a m'
_space_group_IT_number 72
_space_group_name_Hall '-I 2 2c'
_cell_length_a 7.3520
_cell_length_b 15.6314
_cell_length_c 4.7392
_cell_angle_alpha 90.00
_cell_angle_beta 90.00
_cell_angle_gamma 90.00
loop_
_atom_site_label
_atom_site_type_symbol
_atom_site_fract_x
_atom_site_fract_y
_atom_site_fract_z
_atom_site_occupancy
Ti1 Ti 0.1147 0.1420 0.0000 1
Cr1 Cr 0.0000 0.3080 0.2500 1
Cr2 Cr 0.2479 0.4361 0.0000 1
Si1 Si 0.0000 0.0000 0.2500 1
Si2 Si 0.0829 0.4356 0.5000 1
Si3 Si 0.2069 0.2125 0.5000 1

=====

# TiCr2Si6 | Alexandria via LeMat-Bulk | PBEsol | optimized geometry
# Volume: 12.33 A^3/atom
# Formation energy from raw total energies: -489 meV per atom
# Electronic total energy: -7.52 eV per atom
data_TiCr2Si6
_chemical_formula_sum 'Ti2 Cr4 Si12'
_space_group_name_H-M_alt 'C 2 2 2'
_space_group_IT_number 21
_cell_length_a 4.5321
_cell_length_b 7.7754
_cell_length_c 6.2968
_cell_angle_alpha 90.00
_cell_angle_beta 90.00
_cell_angle_gamma 90.00
loop_
_space_group_symop_operation_xyz
'x,y,z'
'-x,-y,z'
'x,-y,-z'
'-x,y,-z'
'x+1/2,y+1/2,z'
'-x+1/2,-y+1/2,z'
'x+1/2,-y+1/2,-z'
'-x+1/2,y+1/2,-z'
loop_
_atom_site_label
_atom_site_type_symbol
_atom_site_fract_x
_atom_site_fract_y
_atom_site_fract_z
_atom_site_occupancy
Ti1 Ti 0.0000 0.0000 0.0000 1
Cr1 Cr 0.2500 0.2500 0.6663 1
Si1 Si 0.0000 0.3385 0.0000 1
Si2 Si 0.2444 0.4148 0.3371 1

=====

# Ti2CrSi2 | Alexandria via LeMat-Bulk | PBEsol | optimized geometry
# Volume: 13.76 A^3/atom
# Formation energy from raw total energies: -670 meV per atom
# Electronic total energy: -8.35 eV per atom
data_Ti2CrSi2
_chemical_formula_sum 'Ti4 Cr2 Si4'
_space_group_name_H-M_alt 'P 4/m b m'
_space_group_IT_number 127
_space_group_name_Hall '-P 4 2ab'
_cell_length_a 6.2623
_cell_length_b 6.2623
_cell_length_c 3.5099
_cell_angle_alpha 90.00
_cell_angle_beta 90.00
_cell_angle_gamma 90.00
loop_
_atom_site_label
_atom_site_type_symbol
_atom_site_fract_x
_atom_site_fract_y
_atom_site_fract_z
_atom_site_occupancy
Ti1 Ti 0.1706 0.3294 0.0000 1
Cr1 Cr 0.0000 0.0000 0.5000 1
Si1 Si 0.1334 0.6334 0.5000 1

=====

# Ti2CrSi6 | Alexandria via LeMat-Bulk | PBEsol | optimized geometry
# Volume: 13.05 A^3/atom
# Formation energy from raw total energies: -568 meV per atom
# Electronic total energy: -7.39 eV per atom
data_Ti2CrSi6
_chemical_formula_sum 'Ti4 Cr2 Si12'
_space_group_name_H-M_alt 'C 2 2 2'
_space_group_IT_number 21
_cell_length_a 4.5803
_cell_length_b 8.0123
_cell_length_c 6.4013
_cell_angle_alpha 90.00
_cell_angle_beta 90.00
_cell_angle_gamma 90.00
loop_
_space_group_symop_operation_xyz
'x,y,z'
'-x,-y,z'
'x,-y,-z'
'-x,y,-z'
'x+1/2,y+1/2,z'
'-x+1/2,-y+1/2,z'
'x+1/2,-y+1/2,-z'
'-x+1/2,y+1/2,-z'
loop_
_atom_site_label
_atom_site_type_symbol
_atom_site_fract_x
_atom_site_fract_y
_atom_site_fract_z
_atom_site_occupancy
Ti1 Ti 0.2500 0.2500 0.1645 1
Cr1 Cr 0.0000 0.0000 0.5000 1
Si1 Si 0.0000 0.3333 0.5000 1
Si2 Si 0.2430 0.4215 0.8272 1

=====

# Y2TiCrSi | Alexandria via LeMat-Bulk | PBEsol | optimized geometry
# Volume: 24.58 A^3/atom
# Formation energy from raw total energies: 566 meV per atom
# Electronic total energy: -7.02 eV per atom
data_Y2TiCrSi
_chemical_formula_sum 'Y2 Ti1 Cr1 Si1'
_space_group_name_H-M_alt 'P 4/m m m'
_space_group_IT_number 123
_space_group_name_Hall '-P 4 2'
_cell_length_a 5.3087
_cell_length_b 5.3087
_cell_length_c 4.3618
_cell_angle_alpha 90.00
_cell_angle_beta 90.00
_cell_angle_gamma 90.00
loop_
_atom_site_label
_atom_site_type_symbol
_atom_site_fract_x
_atom_site_fract_y
_atom_site_fract_z
_atom_site_occupancy
Y1 Y 0.0000 0.5000 0.0000 1
Ti1 Ti 0.0000 0.0000 0.5000 1
Cr1 Cr 0.5000 0.5000 0.5000 1
Si1 Si 0.5000 0.5000 0.0000 1

=====

# TlCrSi3 | Alexandria via LeMat-Bulk | PBEsol | optimized geometry
# Volume: 18.68 A^3/atom
# Formation energy from raw total energies: 310 meV per atom
# Electronic total energy: -5.71 eV per atom
data_TlCrSi3
_chemical_formula_sum 'Tl1 Cr1 Si3'
_space_group_name_H-M_alt 'P m -3 m'
_space_group_IT_number 221
_space_group_name_Hall '-P 4 2 3'
_cell_length_a 4.5369
_cell_length_b 4.5369
_cell_length_c 4.5369
_cell_angle_alpha 90.00
_cell_angle_beta 90.00
_cell_angle_gamma 90.00
loop_
_atom_site_label
_atom_site_type_symbol
_atom_site_fract_x
_atom_site_fract_y
_atom_site_fract_z
_atom_site_occupancy
Tl1 Tl 0.0000 0.0000 0.0000 1
Cr1 Cr 0.5000 0.5000 0.5000 1
Si1 Si 0.0000 0.5000 0.5000 1

=====

# VCrSi4 | Alexandria via LeMat-Bulk | PBEsol | optimized geometry
# Volume: 12.01 A^3/atom
# Formation energy from raw total energies: -520 meV per atom
# Electronic total energy: -7.66 eV per atom
data_VCrSi4
_chemical_formula_sum 'V3 Cr3 Si12'
_space_group_name_H-M_alt 'P 1 2 1'
_space_group_IT_number 3
_cell_length_a 4.4487
_cell_length_b 12.5703
_cell_length_c 4.4571
_cell_angle_alpha 90.00
_cell_angle_beta 119.83
_cell_angle_gamma 90.00
loop_
_space_group_symop_operation_xyz
'x,y,z'
'-x,y,-z'
loop_
_atom_site_label
_atom_site_type_symbol
_atom_site_fract_x
_atom_site_fract_y
_atom_site_fract_z
_atom_site_occupancy
V1 V 0.0000 0.0000 0.0000 1
V2 V 0.0000 0.4995 0.0000 1
V3 V 0.5000 0.6662 0.0000 1
Cr1 Cr 0.0000 0.3323 0.5000 1
Cr2 Cr 0.0000 0.8326 0.5000 1
Cr3 Cr 0.5000 0.1677 0.0000 1
Si1 Si 0.1694 0.1668 0.3359 1
Si2 Si 0.1730 0.6671 0.3377 1
Si3 Si 0.3340 0.4986 0.6612 1
Si4 Si 0.3344 0.8333 0.1714 1
Si5 Si 0.3357 0.0000 0.6663 1
Si6 Si 0.3368 0.3323 0.1690 1